No. 1
VASP calculation (PBE) on crystalline InSi2Hg at its relaxed geometry.

The space group is Imm2 (No. 44) and the conventional cell measures 3.6449, 4.0967 and 11.7939 Å, with angles of 90.00, 90.00 and 90.00 degrees. The asymmetric unit holds In at (0.0000, 0.0000, 0.0000), Si at (0.0000, 0.0000, 0.4084), Si at (0.0000, 0.5000, 0.7744) and Hg at (0.0000, 0.5000, 0.1931).

The density of states at the Fermi level comes out at 1.9 states/eV/cell. The formation energy (no corrections) is 0.354 eV per atom. As for the spin magnetization: 0.00 μB/f.u.



No. 2
VASP calculation (PBE) on crystalline InSi2Hg at its relaxed geometry.

The space group is Fm-3m (No. 225) and the conventional cell measures 6.9500, 6.9500 and 6.9500 Å, with angles of 90.00, 90.00 and 90.00 degrees. The asymmetric unit holds In at (0.0000, 0.0000, 0.0000), Si at (0.2500, 0.2500, 0.2500) and Hg at (0.0000, 0.0000, 0.5000).

The density of states at the Fermi level comes out at 9.1 states/eV/cell. The formation energy (no corrections) is 0.594 eV per atom. As for the spin magnetization: 0.00 μB/f.u.



No. 3
VASP calculation (PBE) on crystalline InSiSn2Hg at its relaxed geometry.

The space group is P4/mmm (No. 123) and the conventional cell measures 5.3168, 5.3168 and 5.2203 Å, with angles of 90.00, 90.00 and 90.00 degrees. The asymmetric unit holds In at (0.0000, 0.0000, 0.0000), Si at (0.0000, 0.0000, 0.5000), Sn at (0.0000, 0.5000, 0.5000) and Hg at (0.5000, 0.5000, 0.0000).

The density of states at the Fermi level comes out at 2.8 states/eV/cell. The formation energy (no corrections) is 0.412 eV per atom. As for the spin magnetization: 0.00 μB/f.u.



No. 4
VASP calculation (PBE) on crystalline InSiTc2Hg at its relaxed geometry.

The space group is P4/mmm (No. 123) and the conventional cell measures 5.2064, 5.2064 and 4.8204 Å, with angles of 90.00, 90.00 and 90.00 degrees. The asymmetric unit holds In at (0.0000, 0.0000, 0.0000), Si at (0.0000, 0.0000, 0.5000), Tc at (0.0000, 0.5000, 0.0000) and Hg at (0.5000, 0.5000, 0.5000).

The density of states at the Fermi level comes out at 7.6 states/eV/cell. The formation energy (no corrections) is 1.917 eV per atom. As for the spin magnetization: 6.15 μB/f.u.



No. 5
VASP calculation (PBE) on crystalline TiInSiHg2 at its relaxed geometry.

The space group is P4/mmm (No. 123) and the conventional cell measures 4.9983, 4.9983 and 5.1243 Å, with angles of 90.00, 90.00 and 90.00 degrees. The asymmetric unit holds Ti at (0.0000, 0.0000, 0.0000), In at (0.5000, 0.5000, 0.0000), Si at (0.5000, 0.5000, 0.5000) and Hg at (0.0000, 0.5000, 0.5000).

The density of states at the Fermi level comes out at 5.5 states/eV/cell. The formation energy (no corrections) is 0.824 eV per atom. As for the spin magnetization: 0.00 μB/f.u.



No. 6
VASP calculation (PBE) on crystalline Sm12In5Hg2 at its relaxed geometry.

The space group is C2/m (No. 12) and the conventional cell measures 17.5159, 7.3892 and 9.2731 Å, with angles of 90.00, 97.18 and 90.00 degrees. The asymmetric unit holds Sm at (0.0059, 0.0000, 0.1900), Sm at (0.0421, 0.5000, 0.6934), Sm at (0.1517, 0.2494, 0.0048), Sm at (0.1634, 0.2593, 0.4228), In at (0.0000, 0.5000, 0.0000), In at (0.1991, 0.0000, 0.7358), In at (0.2290, 0.5000, 0.7499) and Hg at (0.0000, 0.1849, 0.5000).

The density of states at the Fermi level comes out at 40.5 states/eV/cell. The formation energy is -0.204 eV/atom. As for the spin magnetization: 0.00 μB/f.u.



No. 7
VASP calculation (PBE) on crystalline Sm6InHg at its relaxed geometry.

The space group is P4/mmm (No. 123) and the conventional cell measures 4.9165, 4.9165 and 9.8130 Å, with angles of 90.00, 90.00 and 90.00 degrees. The asymmetric unit holds Sm at (0.0000, 0.0000, 0.0000), Sm at (0.0000, 0.0000, 0.5000), Sm at (0.0000, 0.5000, 0.2489), In at (0.5000, 0.5000, 0.5000) and Hg at (0.5000, 0.5000, 0.0000).

The density of states at the Fermi level comes out at 11.7 states/eV/cell. The formation energy is -0.216 eV/atom. As for the spin magnetization: 1.32 μB/f.u.



No. 8
VASP calculation (PBE) on crystalline SmIn3Hg3 at its relaxed geometry.

The space group is Pm-3n (No. 223) and the conventional cell measures 7.8258, 7.8258 and 7.8258 Å, with angles of 90.00, 90.00 and 90.00 degrees. The asymmetric unit holds Sm at (0.0000, 0.0000, 0.0000), In at (0.0000, 0.2500, 0.5000) and Hg at (0.0000, 0.5000, 0.2500).

The density of states at the Fermi level comes out at 7.5 states/eV/cell. The formation energy is 0.337 eV/atom. As for the spin magnetization: 0.00 μB/f.u.



No. 9
VASP calculation (PBE) on crystalline Sm4InHg5 at its relaxed geometry.

The space group is P4/mmm (No. 123) and the conventional cell measures 3.8144, 3.8144 and 18.3697 Å, with angles of 90.00, 90.00 and 90.00 degrees. The asymmetric unit holds Sm at (0.0000, 0.0000, 0.1023), Sm at (0.0000, 0.0000, 0.3078), In at (0.0000, 0.0000, 0.5000), Hg at (0.5000, 0.5000, 0.0000), Hg at (0.5000, 0.5000, 0.2023) and Hg at (0.5000, 0.5000, 0.4052).

The density of states at the Fermi level comes out at 8.7 states/eV/cell. The formation energy is -0.412 eV/atom. As for the spin magnetization: 0.96 μB/f.u.



No. 10
VASP calculation (PBE) on crystalline SmIn2Hg6 at its relaxed geometry.

The space group is C2/m (No. 12) and the conventional cell measures 6.5370, 15.6530 and 4.8597 Å, with angles of 90.00, 111.53 and 90.00 degrees. The asymmetric unit holds Sm at (0.0000, 0.0000, 0.0000), In at (0.0000, 0.1618, 0.5000), Hg at (0.1511, 0.5000, 0.3230) and Hg at (0.1731, 0.3352, 0.8276).

The density of states at the Fermi level comes out at 8.9 states/eV/cell. The formation energy is -0.151 eV/atom. As for the spin magnetization: 0.00 μB/f.u.



No. 11
VASP calculation (PBE) on crystalline SmInHg4 at its relaxed geometry.

The space group is F-43m (No. 216) and the conventional cell measures 8.5516, 8.5516 and 8.5516 Å, with angles of 90.00, 90.00 and 90.00 degrees. The asymmetric unit holds Sm at (0.0000, 0.0000, 0.0000), In at (0.2500, 0.2500, 0.2500) and Hg at (0.1253, 0.1253, 0.6253).

The density of states at the Fermi level comes out at 17.9 states/eV/cell. The formation energy is -0.082 eV/atom. As for the spin magnetization: 0.00 μB/f.u.



No. 12
VASP calculation (PBE) on crystalline SmInHg2 at its relaxed geometry.

The space group is P4/mmm (No. 123) and the conventional cell measures 4.7793, 4.7793 and 4.4349 Å, with angles of 90.00, 90.00 and 90.00 degrees. The asymmetric unit holds Sm at (0.0000, 0.0000, 0.0000), In at (0.5000, 0.5000, 0.0000) and Hg at (0.0000, 0.5000, 0.5000).

The density of states at the Fermi level comes out at 2.5 states/eV/cell. The formation energy is -0.381 eV/atom. As for the spin magnetization: 0.00 μB/f.u.



No. 13
VASP calculation (PBE) on crystalline Sm2In5Hg12 at its relaxed geometry.

The space group is C2/m (No. 12) and the conventional cell measures 20.3397, 10.0400 and 5.0709 Å, with angles of 90.00, 104.29 and 90.00 degrees. The asymmetric unit holds Sm at (0.0000, 0.2209, 0.0000), In at (0.0000, 0.0000, 0.5000), In at (0.2004, 0.5000, 0.7012), In at (0.2026, 0.0000, 0.7014), Hg at (0.0837, 0.5000, 0.0821), Hg at (0.0937, 0.2761, 0.5925), Hg at (0.1125, 0.0000, 0.1114) and Hg at (0.1942, 0.2623, 0.1928).

The density of states at the Fermi level comes out at 13.9 states/eV/cell. The formation energy is -0.129 eV/atom. As for the spin magnetization: 0.00 μB/f.u.



No. 14
VASP calculation (PBE) on crystalline Sm6InHg5 at its relaxed geometry.

The space group is P2/m (No. 10) and the conventional cell measures 5.3548, 7.6605 and 8.4803 Å, with angles of 90.00, 108.47 and 90.00 degrees. The asymmetric unit holds Sm at (0.0000, 0.2471, 0.0000), Sm at (0.3331, 0.2495, 0.6644), In at (0.5000, 0.5000, 0.0000), Hg at (0.1634, 0.5000, 0.3292), Hg at (0.1655, 0.0000, 0.3330) and Hg at (0.5000, 0.0000, 0.0000).

The density of states at the Fermi level comes out at 14.2 states/eV/cell. The formation energy is -0.472 eV/atom. As for the spin magnetization: 2.56 μB/f.u.



No. 15
VASP calculation (PBE) on crystalline SmIn3Hg3 at its relaxed geometry.

The space group is C2/m (No. 12) and the conventional cell measures 9.9486, 10.6793 and 7.0093 Å, with angles of 90.00, 90.71 and 90.00 degrees. The asymmetric unit holds Sm at (0.2194, 0.0000, 0.4984), In at (0.0000, 0.1513, 0.0000), In at (0.0000, 0.2358, 0.5000), In at (0.2274, 0.5000, 0.0026), Hg at (0.0008, 0.5000, 0.7277) and Hg at (0.2487, 0.2505, 0.2367).

The density of states at the Fermi level comes out at 11.2 states/eV/cell. The formation energy is -0.161 eV/atom. As for the spin magnetization: 0.00 μB/f.u.



No. 16
VASP calculation (PBE) on crystalline Sm2InHg at its relaxed geometry.

The space group is Fm-3m (No. 225) and the conventional cell measures 7.6507, 7.6507 and 7.6507 Å, with angles of 90.00, 90.00 and 90.00 degrees. The asymmetric unit holds Sm at (0.2500, 0.2500, 0.2500), In at (0.0000, 0.0000, 0.0000) and Hg at (0.0000, 0.0000, 0.5000).

The density of states at the Fermi level comes out at 19.3 states/eV/cell. The formation energy is -0.473 eV/atom. As for the spin magnetization: 0.61 μB/f.u.



No. 17
VASP calculation (PBE) on crystalline Sm4In2Hg3 at its relaxed geometry.

The space group is C2/m (No. 12) and the conventional cell measures 10.7207, 5.0196 and 9.5892 Å, with angles of 90.00, 109.63 and 90.00 degrees. The asymmetric unit holds Sm at (0.0550, 0.0000, 0.3469), Sm at (0.1471, 0.5000, 0.8924), In at (0.2134, 0.5000, 0.2564), Hg at (0.0000, 0.0000, 0.0000) and Hg at (0.1422, 0.5000, 0.5637).

The density of states at the Fermi level comes out at 14.0 states/eV/cell. The formation energy is -0.405 eV/atom. As for the spin magnetization: 0.33 μB/f.u.



No. 18
VASP calculation (PBE) on crystalline Sm3In2Hg2 at its relaxed geometry.

The space group is Cmmm (No. 65) and the conventional cell measures 4.7515, 22.3382 and 3.5289 Å, with angles of 90.00, 90.00 and 90.00 degrees. The asymmetric unit holds Sm at (0.0000, 0.0000, 0.0000), Sm at (0.0000, 0.1569, 0.0000), In at (0.0000, 0.4254, 0.5000) and Hg at (0.0000, 0.2873, 0.5000).

The density of states at the Fermi level comes out at 14.6 states/eV/cell. The formation energy is -0.451 eV/atom. As for the spin magnetization: 0.00 μB/f.u.



No. 19
VASP calculation (PBE) on crystalline SmInHg2 at its relaxed geometry.

The space group is R3m (No. 160, hexagonal axes) and the conventional cell measures 3.9721, 3.9721 and 25.0783 Å, with angles of 90.00, 90.00 and 120.00 degrees. The asymmetric unit holds Sm at (0.0000, 0.0000, 0.0000), In at (0.0000, 0.0000, 0.8334), Hg at (0.0000, 0.0000, 0.4197) and Hg at (0.0000, 0.0000, 0.5807).

The density of states at the Fermi level comes out at 5.1 states/eV/cell. The formation energy is -0.205 eV/atom. As for the spin magnetization: 0.00 μB/f.u.



No. 20
VASP calculation (PBE) on crystalline Sm2In3Hg3 at its relaxed geometry.

The space group is Pmmm (No. 47) and the conventional cell measures 4.6516, 4.6786 and 9.2823 Å, with angles of 90.00, 90.00 and 90.00 degrees. The asymmetric unit holds Sm at (0.0000, 0.0000, 0.2482), In at (0.0000, 0.5000, 0.5000), In at (0.5000, 0.0000, 0.0000), In at (0.5000, 0.0000, 0.5000), Hg at (0.0000, 0.5000, 0.0000) and Hg at (0.5000, 0.5000, 0.2550).

The density of states at the Fermi level comes out at 3.8 states/eV/cell. The formation energy is -0.404 eV/atom. As for the spin magnetization: 0.00 μB/f.u.



No. 21
VASP calculation (PBE) on crystalline Sm5InHg3 at its relaxed geometry.

The space group is P6_3/mcm (No. 193) and the conventional cell measures 9.3461, 9.3461 and 6.7589 Å, with angles of 90.00, 90.00 and 120.00 degrees. The asymmetric unit holds Sm at (0.0000, 0.2969, 0.2500), Sm at (0.3333, 0.6667, 0.0000), In at (0.0000, 0.0000, 0.0000) and Hg at (0.0000, 0.3686, 0.7500).

The density of states at the Fermi level comes out at 17.6 states/eV/cell. The formation energy is -0.389 eV/atom. As for the spin magnetization: 0.00 μB/f.u.



No. 22
VASP calculation (PBE) on crystalline Sm5In2Hg at its relaxed geometry.

The space group is I4/mmm (No. 139) and the conventional cell measures 7.1006, 7.1006 and 9.1082 Å, with angles of 90.00, 90.00 and 90.00 degrees. The asymmetric unit holds Sm at (0.0000, 0.0000, 0.0000), Sm at (0.2500, 0.2500, 0.2500), In at (0.0000, 0.5000, 0.0000) and Hg at (0.0000, 0.0000, 0.5000).

The density of states at the Fermi level comes out at 18.7 states/eV/cell. The formation energy is -0.328 eV/atom. As for the spin magnetization: 0.00 μB/f.u.



No. 23
VASP calculation (PBE) on crystalline Sm4In5Hg2 at its relaxed geometry.

The space group is P2/m (No. 10) and the conventional cell measures 8.0181, 3.6079 and 10.2965 Å, with angles of 90.00, 94.69 and 90.00 degrees. The asymmetric unit holds Sm at (0.1750, 0.0000, 0.3841), Sm at (0.2705, 0.0000, 0.9412), In at (0.1866, 0.5000, 0.6606), In at (0.4459, 0.5000, 0.1997), In at (0.5000, 0.5000, 0.5000) and Hg at (0.0648, 0.5000, 0.1373).

The density of states at the Fermi level comes out at 9.2 states/eV/cell. The formation energy is -0.426 eV/atom. As for the spin magnetization: 0.00 μB/f.u.